{"formula": "FeAgNF2", "functional": "PBE+U", "state": "optimized geometry", "energy_ry_per_atom": -0.2876, "dos_ef_per_ev_cell": 2.1, "lattice": [[4.3106, 0.0000, 0.0000], [0.0000, 4.3106, 0.0000], [0.0000, 0.0000, 4.0510]], "species": ["Fe", "N", "F", "F", "Ag"], "fractional_positions": [[0.5000, 0.5000, 0.5000], [0.0000, 0.0000, 0.5000], [0.5000, 0.0000, 0.0000], [0.0000, 0.5000, 0.0000], [0.0000, 0.0000, 0.0000]]}